# Nd6Y2HoMg

Crystalline Nd6Y2HoMg at its relaxed geometry (GGA-PBE, Alexandria).

a = 9.2950 Å, b = 9.2950 Å, c = 8.9434 Å
α = 91.07°, β = 91.07°, γ = 119.80°
Fractional positions:
Nd (0.0423, 0.4609, 0.8026)
Nd (0.1172, 0.7977, 0.5523)
Nd (0.2023, 0.8828, 0.9477)
Nd (0.2660, 0.5352, 0.4072)
Nd (0.4609, 0.0423, 0.3026)
Nd (0.4648, 0.7340, 0.0928)
Nd (0.5352, 0.2660, 0.9072)
Nd (0.5391, 0.9577, 0.6974)
Nd (0.7340, 0.4648, 0.5928)
Nd (0.7977, 0.1172, 0.0523)
Nd (0.8828, 0.2023, 0.4477)
Nd (0.9577, 0.5391, 0.1974)
Y (0.2224, 0.3124, 0.0481)
Y (0.3124, 0.2224, 0.5481)
Y (0.6876, 0.7776, 0.4519)
Y (0.7776, 0.6876, 0.9519)
Ho (0.0346, 0.9654, 0.2500)
Ho (0.9654, 0.0346, 0.7500)
Mg (0.4434, 0.5566, 0.7500)
Mg (0.5566, 0.4434, 0.2500)

Results
Crystal system ... monoclinic
DFT formation energy ... 115.6 meV/atom
V ... 670 Å³/cell
Total DFT energy (no corrections) ... -4.655 eV/atom